[1]
A plane-wave DFT calculation with PBE was carried out for Gd2YTh after structural relaxation.

abc: 5.7009 5.7009 5.7009
angles: 60.00 60.00 60.00
With the nearest neighbours (Å) after each atom.
Fractional positions:
1 Gd 0.2500 0.2500 0.2500  4 Y 3.49, 4 Th 3.49
2 Y 0.5000 0.5000 0.5000  8 Gd 3.49
3 Th 0.0000 0.0000 0.0000  8 Gd 3.49
4 Gd 0.7500 0.7500 0.7500  4 Th 3.49, 4 Y 3.49

Output
- offset from the most stable computed form (kcal/mol of atoms) = 2.550
- DOS(E_F) (states/eV per atom) = 1.451
- E_tot (eV per cell) = -41.46
- formation energy (eV per atom) = 0.146

[2]
A plane-wave DFT calculation with PBE was carried out for GdY2Th after structural relaxation.

abc: 3.5884 3.5884 11.7853
angles: 81.24 81.24 60.00
With the nearest neighbours (Å) after each atom.
Fractional positions:
1 Th 0.0000 0.0000 0.0000  6 Y 3.51, 6 Th 3.59
2 Y 0.2520 0.2520 0.2441  3 Th 3.51, 6 Y 3.59, 3 Gd 3.62
3 Y 0.7480 0.7480 0.7559  3 Th 3.51, 6 Y 3.59, 3 Gd 3.62
4 Gd 0.5000 0.5000 0.5000  6 Gd 3.59, 6 Y 3.62

Output
- offset from the most stable computed form (kcal/mol of atoms) = 0.000
- DOS(E_F) (states/eV per atom) = 1.532
- E_tot (eV per cell) = -34.34
- formation energy (eV per atom) = 0.023

[3]
A plane-wave DFT calculation with PBE was carried out for Gd2YTh after structural relaxation.

abc: 3.5797 3.5797 10.1293
angles: 90.00 90.00 90.00
With the nearest neighbours (Å) after each atom.
Fractional positions:
1 Th 0.5000 0.5000 0.5000  8 Gd 3.52, 4 Th 3.58
2 Gd 0.0000 0.0000 0.2581  4 Th 3.52, 4 Gd 3.58, 4 Y 3.64
3 Y 0.5000 0.5000 0.0000  4 Y 3.58, 8 Gd 3.64
4 Gd 0.0000 0.0000 0.7419  4 Th 3.52, 4 Gd 3.58, 4 Y 3.64

Output
- offset from the most stable computed form (kcal/mol of atoms) = 0.000
- DOS(E_F) (states/eV per atom) = 1.756
- E_tot (eV per cell) = -41.90
- formation energy (eV per atom) = 0.036

[4]
A plane-wave DFT calculation with PBE was carried out for GdYTh after structural relaxation.

abc: 3.4628 5.6875 5.6875
angles: 120.00 90.00 90.00
With the nearest neighbours (Å) after each atom.
Fractional positions:
1 Gd 0.1668 0.0000 0.0000  3 Th 3.28, 2 Gd 3.46
2 Y 0.6665 0.6667 0.3333  2 Y 3.46, 6 Gd 3.71, 6 Th 3.71
3 Th 0.1666 0.3333 0.6667  3 Gd 3.28, 2 Th 3.46

Output
- offset from the most stable computed form (kcal/mol of atoms) = 1.616
- DOS(E_F) (states/eV per atom) = 1.808
- E_tot (eV per cell) = -27.69
- formation energy (eV per atom) = 0.092

[5]
A plane-wave DFT calculation with PBE was carried out for GdThZn2 after structural relaxation.

abc: 5.1515 5.1515 5.1515
angles: 60.00 60.00 60.00
With the nearest neighbours (Å) after each atom.
Fractional positions:
1 Th 0.0000 0.0000 0.0000  8 Zn 3.15
2 Gd 0.5000 0.5000 0.5000  8 Zn 3.15
3 Zn 0.2500 0.2500 0.2500  4 Gd 3.15, 4 Th 3.15
4 Zn 0.7500 0.7500 0.7500  4 Th 3.15, 4 Gd 3.15

Output
- offset from the most stable computed form (kcal/mol of atoms) = 0.346
- DOS(E_F) (states/eV per atom) = 1.009
- E_tot (eV per cell) = -25.01
- formation energy (eV per atom) = -0.240

[6]
A plane-wave DFT calculation with PBE was carried out for GdThZn2 after structural relaxation.

abc: 3.6055 3.6055 7.3844
angles: 90.00 90.00 90.00
With the nearest neighbours (Å) after each atom.
Fractional positions:
1 Zn 0.0000 0.0000 0.7390  4 Gd 3.10, 4 Th 3.20
2 Th 0.5000 0.5000 0.0000  8 Zn 3.20
3 Zn 0.0000 0.0000 0.2610  4 Gd 3.10, 4 Th 3.20
4 Gd 0.5000 0.5000 0.5000  8 Zn 3.10

Output
- offset from the most stable computed form (kcal/mol of atoms) = 0.000
- DOS(E_F) (states/eV per atom) = 1.010
- E_tot (eV per cell) = -25.07
- formation energy (eV per atom) = -0.255